(1)
Here is a geometry-optimized Y4HoMg2 structure from the Alexandria database. Energies are from PBE-GGA.

Values from the calculation:
energy above the lowest structure with this stoichiometry: 93.0 meV per atom
ΔE_f: 0.07 eV/atom
ρ: 4.5 g/cm³
calculated total energy: -4.73 eV/atom

Cell lengths 5.4559, 5.4559, 24.2621 Å; angles 90.00, 90.00, 120.00 degrees
Space group R-3m (No. 166, hexagonal axes)
One atom of each set of equivalent atoms:
Y (0.0000, 0.0000, 0.0680) x6
Y (0.0000, 0.0000, 0.2075) x6
Ho (0.0000, 0.0000, 0.5000) x3
Mg (0.0000, 0.0000, 0.3512) x6

(2)
Here is a geometry-optimized Y2HoMg9 structure from the Alexandria database. Energies are from PBE-GGA.

Values from the calculation:
ΔE_f: -0.04 eV/atom
ρ: 3.1 g/cm³
calculated total energy: -2.69 eV/atom

Cell lengths 6.0441, 6.0441, 28.9771 Å; angles 90.00, 90.00, 120.00 degrees
Space group R-3m (No. 166, hexagonal axes)
One atom of each set of equivalent atoms:
Y (0.0000, 0.0000, 0.1422) x6
Ho (0.0000, 0.0000, 0.0000) x3
Mg (0.0000, 0.0000, 0.3342) x6
Mg (0.0000, 0.0000, 0.5000) x3
Mg (0.0052, 0.5026, 0.9159) x18

(3)
Here is a geometry-optimized YHoMg2 structure from the Alexandria database. Energies are from PBE-GGA.

Values from the calculation:
ΔE_f: -0.09 eV/atom
ρ: 4.6 g/cm³
calculated total energy: -3.65 eV/atom

Cell lengths 7.582, 7.582, 7.582 Å; angles 90.00, 90.00, 90.00 degrees
Space group Fm-3m (No. 225)
One atom of each set of equivalent atoms:
Y (0.000, 0.000, 0.000) x4
Ho (0.000, 0.000, 0.500) x4
Mg (0.250, 0.250, 0.250) x8

(4)
Here is a geometry-optimized YHo4Mg structure from the Alexandria database. Energies are from PBE-GGA.

Values from the calculation:
energy above the lowest structure with this stoichiometry: 0.0 meV per atom
ΔE_f: -0.01 eV/atom
ρ: 7.1 g/cm³
calculated total energy: -4.40 eV/atom

Cell lengths 3.543, 3.543, 14.337 Å; angles 90.00, 90.00, 90.00 degrees
Space group P4/mmm (No. 123)
One atom of each set of equivalent atoms:
Y (0.000, 0.000, 0.000) x1
Ho (0.000, 0.000, 0.346) x2
Ho (0.500, 0.500, 0.176) x2
Mg (0.500, 0.500, 0.500) x1

(5)
Here is a geometry-optimized Y3Ho4Mg structure from the Alexandria database. Energies are from PBE-GGA.

Values from the calculation:
energy above the lowest structure with this stoichiometry: 210.4 meV per atom
ΔE_f: 0.43 eV/atom
ρ: 5.9 g/cm³
calculated total energy: -4.49 eV/atom

Cell lengths 6.133, 8.734, 10.036 Å; angles 90.00, 90.00, 90.00 degrees
Space group Imm2 (No. 44)
One atom of each set of equivalent atoms:
Y (0.000, 0.000, 0.000) x2
Y (0.000, 0.188, 0.658) x4
Ho (0.000, 0.326, 0.343) x4
Ho (0.247, 0.000, 0.319) x4
Mg (0.000, 0.500, 0.080) x2

(6)
Here is a geometry-optimized Y2Ho7Mg structure from the Alexandria database. Energies are from PBE-GGA.

Values from the calculation:
ΔE_f: 0.69 eV/atom
ρ: 6.0 g/cm³
calculated total energy: -3.97 eV/atom

Cell lengths 8.595, 16.636, 5.260 Å; angles 90.00, 90.00, 90.00 degrees
Space group Cmmm (No. 65)
One atom of each set of equivalent atoms:
Y (0.000, 0.206, 0.000) x4
Ho (0.000, 0.000, 0.000) x2
Ho (0.000, 0.302, 0.500) x4
Ho (0.178, 0.395, 0.000) x8
Mg (0.000, 0.500, 0.500) x2

Look up the ρ of the first one. 4.5 g/cm³